A plane-wave DFT calculation with PBE was carried out for a relaxed Ac2GaSnGe crystal.

The structure in CIF format:
```
data_Ac2GaSnGe
_chemical_formula_sum 'Ac4 Ga2 Sn2 Ge2'
_cell_length_a 7.510
_cell_length_b 4.564
_cell_length_c 9.680
_cell_angle_alpha 90.00
_cell_angle_beta 105.36
_cell_angle_gamma 90.00
_symmetry_space_group_name_H-M 'P 1 21/m 1'
_symmetry_Int_Tables_number 11
_symmetry_space_group_name_Hall '-P 2yb'
loop_
_atom_site_label
_atom_site_type_symbol
_atom_site_fract_x
_atom_site_fract_y
_atom_site_fract_z
Ac1 Ac 0.211 0.250 0.411
Ac2 Ac 0.256 0.250 0.981
Ga1 Ga 0.479 0.750 0.267
Sn1 Sn 0.303 0.750 0.702
Ge1 Ge 0.146 0.750 0.175
```

Mass density (g/cm3): 7.42
DOS at the Fermi energy (states/eV/atom): 0.511
Volume (A^3/atom): 32.0
E_form (meV per atom): -612
Final energy (eV/cell): -45.9